[1]
First-principles (PBE) data for a geometry-optimized Ta2SiW structure, as listed in the Alexandria database.

Lattice parameters (Å, degrees): 5.1687 5.1687 2.8272 98.40 98.40 115.16
Positions (direct):
Ta  0.0000  0.5000  0.0000
Ta  0.5000  0.0000  0.0000
Si  0.0000  0.0000  0.5000
W  0.5000  0.5000  0.5000

Results
Electronic total energy ... -42.23 eV per cell
D(E_F) ... 1.4 states/eV/f.u.
V ... 16.445 A^3/atom

=====

[2]
First-principles (PBE) data for a geometry-optimized TaSi2W structure, as listed in the Alexandria database.

Lattice parameters (Å, degrees): 4.3905 4.3905 4.3905 60.00 60.00 60.00
Positions (direct):
Ta  0.0000  0.0000  0.0000
Si  0.2500  0.2500  0.2500
Si  0.7500  0.7500  0.7500
W  0.5000  0.5000  0.5000

Results
Energy above the lowest structure with this stoichiometry ... 303.7 meV/atom
Electronic total energy ... -35.63 eV per cell
D(E_F) ... 2.2 states/eV/f.u.
V ... 14.961 A^3/atom

=====

[3]
First-principles (PBE) data for a geometry-optimized TaSi2W structure, as listed in the Alexandria database.

Lattice parameters (Å, degrees): 3.3388 3.9366 4.6217 90.00 90.00 90.00
Positions (direct):
Ta  0.0000  0.0000  0.0000
Si  0.0000  0.5000  0.5000
Si  0.5000  0.5000  0.0000
W  0.5000  0.0000  0.5000

Results
Energy above the lowest structure with this stoichiometry ... 260.9 meV/atom
Electronic total energy ... -35.80 eV per cell
D(E_F) ... 1.7 states/eV/f.u.
V ... 15.187 A^3/atom

=====

[4]
First-principles (PBE) data for a geometry-optimized TaSiW2 structure, as listed in the Alexandria database.

Lattice parameters (Å, degrees): 2.8175 2.8175 8.4230 90.00 90.00 108.45
Positions (direct):
Ta  0.0000  0.0000  0.0000
Si  0.0000  0.0000  0.5000
W  0.5000  0.5000  0.2694
W  0.5000  0.5000  0.7306

Results
Electronic total energy ... -43.36 eV per cell
D(E_F) ... 1.7 states/eV/f.u.
V ... 15.857 A^3/atom

=====

[5]
First-principles (PBE) data for a geometry-optimized TaSiW2 structure, as listed in the Alexandria database.

Lattice parameters (Å, degrees): 3.3246 3.3246 5.7457 90.00 90.00 90.00
Positions (direct):
Ta  0.0000  0.0000  0.0000
Si  0.5000  0.5000  0.7548
W  0.0000  0.0000  0.5283
W  0.5000  0.5000  0.2637

Results
Electronic total energy ... -43.31 eV per cell
D(E_F) ... 3.5 states/eV/f.u.
V ... 15.877 A^3/atom

=====

[6]
First-principles (PBE) data for a geometry-optimized Ta2SiW structure, as listed in the Alexandria database.

Lattice parameters (Å, degrees): 9.5748 9.5748 9.5748 17.20 17.20 17.20
Positions (direct):
Ta  0.2450  0.2450  0.2450
Ta  0.7550  0.7550  0.7550
Si  0.5000  0.5000  0.5000
W  0.0000  0.0000  0.0000

Results
Electronic total energy ... -41.36 eV per cell
D(E_F) ... 4.2 states/eV/f.u.
V ... 16.750 A^3/atom

=====

[7]
First-principles (PBE) data for a geometry-optimized TaSi4W structure, as listed in the Alexandria database.

Lattice parameters (Å, degrees): 4.8713 4.8713 4.8713 60.00 60.00 60.00
Positions (direct):
Ta  0.0000  0.0000  0.0000
Si  0.1252  0.6249  0.6249
Si  0.6249  0.1252  0.6249
Si  0.6249  0.6249  0.1252
Si  0.6249  0.6249  0.6249
W  0.2500  0.2500  0.2500

Results
Energy above the lowest structure with this stoichiometry ... 705.7 meV/atom
Electronic total energy ... -44.56 eV per cell
D(E_F) ... 3.8 states/eV/f.u.
V ... 13.623 A^3/atom

=====

[8]
First-principles (PBE) data for a geometry-optimized Ta2SiW structure, as listed in the Alexandria database.

Lattice parameters (Å, degrees): 2.7931 2.7931 8.4482 90.00 90.00 90.00
Positions (direct):
Ta  0.0000  0.0000  0.0000
Ta  0.5000  0.5000  0.2822
Si  0.5000  0.5000  0.7727
W  0.0000  0.0000  0.5530

Results
Electronic total energy ... -41.73 eV per cell
D(E_F) ... 2.5 states/eV/f.u.
V ... 16.477 A^3/atom

=====

[9]
First-principles (PBE) data for a geometry-optimized TaSi2W structure, as listed in the Alexandria database.

Lattice parameters (Å, degrees): 4.1387 4.8183 4.8183 38.50 90.00 90.00
Positions (direct):
Ta  0.0000  0.0000  0.0000
Si  0.0000  0.2753  0.2753
Si  0.5000  0.4377  0.4377
W  0.5000  0.7184  0.7184

Results
Energy above the lowest structure with this stoichiometry ... 88.2 meV/atom
Electronic total energy ... -36.49 eV per cell
D(E_F) ... 2.3 states/eV/f.u.
V ... 14.954 A^3/atom

=====

[10]
First-principles (PBE) data for a geometry-optimized TaSi2W structure, as listed in the Alexandria database.

Lattice parameters (Å, degrees): 8.5498 8.5498 8.5498 19.59 19.59 19.59
Positions (direct):
Ta  0.0000  0.0000  0.0000
Si  0.2470  0.2470  0.2470
Si  0.7530  0.7530  0.7530
W  0.5000  0.5000  0.5000

Results
Energy above the lowest structure with this stoichiometry ... 359.9 meV/atom
Electronic total energy ... -35.40 eV per cell
D(E_F) ... 3.9 states/eV/f.u.
V ... 15.366 A^3/atom

=====

[11]
First-principles (PBE) data for a geometry-optimized Ta2SiW structure, as listed in the Alexandria database.

Lattice parameters (Å, degrees): 3.3657 3.3657 5.8033 90.00 90.00 90.00
Positions (direct):
Ta  0.0000  0.0000  0.2410
Ta  0.0000  0.0000  0.7590
Si  0.5000  0.5000  0.0000
W  0.5000  0.5000  0.5000

Results
Electronic total energy ... -42.80 eV per cell
D(E_F) ... 2.6 states/eV/f.u.
V ... 16.434 A^3/atom

=====

[12]
First-principles (PBE) data for a geometry-optimized TaSi2W structure, as listed in the Alexandria database.

Lattice parameters (Å, degrees): 4.7860 4.7860 2.8939 100.14 100.14 106.45
Positions (direct):
Ta  0.0000  0.0000  0.0000
Si  0.0000  0.5000  0.5000
Si  0.5000  0.0000  0.5000
W  0.5000  0.5000  0.0000

Results
Energy above the lowest structure with this stoichiometry ... 286.3 meV/atom
Electronic total energy ... -35.70 eV per cell
D(E_F) ... 2.1 states/eV/f.u.
V ... 15.191 A^3/atom

=====

[13]
First-principles (PBE) data for a geometry-optimized Ta2SiW structure, as listed in the Alexandria database.

Lattice parameters (Å, degrees): 4.2800 4.2800 3.5695 90.00 90.00 90.00
Positions (direct):
Ta  0.0000  0.5000  0.0000
Ta  0.5000  0.0000  0.0000
Si  0.0000  0.0000  0.5000
W  0.5000  0.5000  0.5000

Results
Electronic total energy ... -42.57 eV per cell
D(E_F) ... 2.8 states/eV/f.u.
V ... 16.347 A^3/atom

=====

[14]
First-principles (PBE) data for a geometry-optimized TaSi2W structure, as listed in the Alexandria database.

Lattice parameters (Å, degrees): 2.8818 2.8818 7.7201 90.00 90.00 108.19
Positions (direct):
Ta  0.0000  0.0000  0.0000
Si  0.5000  0.5000  0.2561
Si  0.5000  0.5000  0.7439
W  0.0000  0.0000  0.5000

Results
Energy above the lowest structure with this stoichiometry ... 286.2 meV/atom
Electronic total energy ... -35.70 eV per cell
D(E_F) ... 1.7 states/eV/f.u.
V ... 15.228 A^3/atom

=====

[15]
First-principles (PBE) data for a geometry-optimized Ta2SiW structure, as listed in the Alexandria database.

Lattice parameters (Å, degrees): 9.4975 9.4975 9.4975 17.42 17.42 17.42
Positions (direct):
Ta  0.0000  0.0000  0.0000
Ta  0.2416  0.2416  0.2416
Si  0.7447  0.7447  0.7447
W  0.4863  0.4863  0.4863

Results
Electronic total energy ... -41.26 eV per cell
D(E_F) ... 3.7 states/eV/f.u.
V ... 16.754 A^3/atom

=====

[16]
First-principles (PBE) data for a geometry-optimized TaSi2W structure, as listed in the Alexandria database.

Lattice parameters (Å, degrees): 4.8138 4.8138 4.8138 138.61 122.60 73.20
Positions (direct):
Ta  0.0000  0.0000  0.0000
Si  0.2532  0.7532  0.5000
Si  0.7468  0.2468  0.5000
W  0.5000  0.5000  0.0000

Results
Energy above the lowest structure with this stoichiometry ... 280.4 meV/atom
Electronic total energy ... -35.72 eV per cell
D(E_F) ... 2.0 states/eV/f.u.
V ... 15.197 A^3/atom

=====

[17]
First-principles (PBE) data for a geometry-optimized TaSi2W structure, as listed in the Alexandria database.

Lattice parameters (Å, degrees): 8.7105 8.7105 8.7105 19.21 19.21 19.21
Positions (direct):
Ta  0.0000  0.0000  0.0000
Si  0.4928  0.4928  0.4928
Si  0.7485  0.7485  0.7485
W  0.2381  0.2381  0.2381

Results
Energy above the lowest structure with this stoichiometry ... 421.8 meV/atom
Electronic total energy ... -35.16 eV per cell
D(E_F) ... 2.2 states/eV/f.u.
V ... 15.642 A^3/atom

=====

[18]
First-principles (PBE) data for a geometry-optimized TaSi2W structure, as listed in the Alexandria database.

Lattice parameters (Å, degrees): 4.8289 4.8289 4.4796 104.07 104.07 36.63
Positions (direct):
Ta  0.0000  0.0000  0.0000
Si  0.2541  0.2541  0.8400
Si  0.5216  0.5216  0.5161
W  0.7797  0.7797  0.3645

Results
Energy above the lowest structure with this stoichiometry ... 166.5 meV/atom
Electronic total energy ... -36.18 eV per cell
D(E_F) ... 1.8 states/eV/f.u.
V ... 15.059 A^3/atom

=====

[19]
First-principles (PBE) data for a geometry-optimized Ta6SiW5 structure, as listed in the Alexandria database.

Lattice parameters (Å, degrees): 7.9185 7.9185 4.5632 106.68 106.68 48.28
Positions (direct):
Ta  0.0824  0.5838  0.3329
Ta  0.2460  0.7540  0.0000
Ta  0.4162  0.9176  0.6671
Ta  0.5838  0.0824  0.3329
Ta  0.7540  0.2460  0.0000
Ta  0.9176  0.4162  0.6671
Si  0.5000  0.5000  0.5000
W  0.0000  0.0000  0.5000
W  0.1681  0.1681  0.1681
W  0.3381  0.3381  0.8381
W  0.6619  0.6619  0.1619
W  0.8319  0.8319  0.8319

Results
Electronic total energy ... -142.73 eV per cell
D(E_F) ... 7.6 states/eV/f.u.
V ... 16.893 A^3/atom

=====

[20]
First-principles (PBE) data for a geometry-optimized Ta2SiW structure, as listed in the Alexandria database.

Lattice parameters (Å, degrees): 3.3510 3.3510 5.8521 90.00 90.00 90.00
Positions (direct):
Ta  0.0000  0.0000  0.0000
Ta  0.5000  0.5000  0.2735
Si  0.5000  0.5000  0.7608
W  0.0000  0.0000  0.5387

Results
Electronic total energy ... -42.70 eV per cell
D(E_F) ... 1.9 states/eV/f.u.
V ... 16.428 A^3/atom

=====

[21]
First-principles (PBE) data for a geometry-optimized YTa2Si structure, as listed in the Alexandria database.

Lattice parameters (Å, degrees): 9.8279 9.8279 9.8279 17.90 17.90 17.90
Positions (direct):
Y  0.0000  0.0000  0.0000
Ta  0.2397  0.2397  0.2397
Ta  0.7603  0.7603  0.7603
Si  0.5000  0.5000  0.5000

Results
Electronic total energy ... -34.47 eV per cell
D(E_F) ... 2.9 states/eV/f.u.
V ... 19.576 A^3/atom

=====

[22]
First-principles (PBE) data for a geometry-optimized YTa2Si structure, as listed in the Alexandria database.

Lattice parameters (Å, degrees): 2.9598 2.9598 8.8455 90.00 90.00 90.00
Positions (direct):
Y  0.0000  0.0000  0.0000
Ta  0.0000  0.0000  0.4462
Ta  0.5000  0.5000  0.7041
Si  0.5000  0.5000  0.2452

Results
Electronic total energy ... -35.27 eV per cell
D(E_F) ... 4.3 states/eV/f.u.
V ... 19.373 A^3/atom

=====

[23]
First-principles (PBE) data for a geometry-optimized YTa2Si structure, as listed in the Alexandria database.

Lattice parameters (Å, degrees): 5.3400 5.3400 2.9623 90.00 90.00 113.43
Positions (direct):
Y  0.0000  0.0000  0.0000
Ta  0.0000  0.5000  0.5000
Ta  0.5000  0.0000  0.5000
Si  0.5000  0.5000  0.0000

Results
Electronic total energy ... -34.21 eV per cell
D(E_F) ... 3.9 states/eV/f.u.
V ... 19.377 A^3/atom

=====

[24]
First-principles (PBE) data for a geometry-optimized YTaSi2 structure, as listed in the Alexandria database.

Lattice parameters (Å, degrees): 4.7016 4.7016 4.7016 60.00 60.00 60.00
Positions (direct):
Y  0.0000  0.0000  0.0000
Ta  0.5000  0.5000  0.5000
Si  0.2500  0.2500  0.2500
Si  0.7500  0.7500  0.7500

Results
Energy above the lowest structure with this stoichiometry ... 466.9 meV/atom
Electronic total energy ... -29.44 eV per cell
D(E_F) ... 6.9 states/eV/f.u.
V ... 18.372 A^3/atom

=====

[25]
First-principles (PBE) data for a geometry-optimized YTaSi3 structure, as listed in the Alexandria database.

Lattice parameters (Å, degrees): 4.9584 4.9584 4.9584 90.00 90.00 90.00
Positions (direct):
Y  0.0000  0.0000  0.0000
Ta  0.5000  0.5000  0.5000
Si  0.0000  0.0000  0.5000
Si  0.0000  0.5000  0.0000
Si  0.5000  0.0000  0.0000

Results
Energy above the lowest structure with this stoichiometry ... 1602.8 meV/atom
Electronic total energy ... -25.78 eV per cell
D(E_F) ... 5.8 states/eV/f.u.
V ... 24.382 A^3/atom

=====

[26]
First-principles (PBE) data for a geometry-optimized YTa2Si structure, as listed in the Alexandria database.

Lattice parameters (Å, degrees): 5.3964 5.3964 5.1855 104.61 104.61 32.36
Positions (direct):
Y  0.0000  0.0000  0.0000
Ta  0.2247  0.2247  0.7137
Ta  0.7753  0.7753  0.2863
Si  0.5000  0.5000  0.5000

Results
Electronic total energy ... -35.40 eV per cell
D(E_F) ... 3.7 states/eV/f.u.
V ... 19.496 A^3/atom

=====

[27]
First-principles (PBE) data for a geometry-optimized YTa4Si structure, as listed in the Alexandria database.

Lattice parameters (Å, degrees): 5.5799 5.5799 5.5799 60.00 60.00 60.00
Positions (direct):
Y  0.0000  0.0000  0.0000
Ta  0.3733  0.3733  0.3733
Ta  0.3733  0.3733  0.8800
Ta  0.3733  0.8800  0.3733
Ta  0.8800  0.3733  0.3733
Si  0.7500  0.7500  0.7500

Results
Electronic total energy ... -56.78 eV per cell
D(E_F) ... 6.4 states/eV/f.u.
V ... 20.474 A^3/atom

=====

[28]
First-principles (PBE) data for a geometry-optimized YTaSi2 structure, as listed in the Alexandria database.

Lattice parameters (Å, degrees): 3.3111 3.3111 6.9104 90.00 90.00 90.00
Positions (direct):
Y  0.0000  0.0000  0.0000
Ta  0.5000  0.5000  0.6643
Si  0.0000  0.0000  0.4776
Si  0.5000  0.5000  0.2945

Results
Energy above the lowest structure with this stoichiometry ... 436.4 meV/atom
Electronic total energy ... -29.56 eV per cell
D(E_F) ... 3.2 states/eV/f.u.
V ... 18.940 A^3/atom

=====

[29]
First-principles (PBE) data for a geometry-optimized YTa2Si structure, as listed in the Alexandria database.

Lattice parameters (Å, degrees): 4.0535 4.0535 4.7187 90.00 90.00 90.00
Positions (direct):
Y  0.0000  0.0000  0.0000
Ta  0.0000  0.5000  0.5000
Ta  0.5000  0.0000  0.5000
Si  0.5000  0.5000  0.0000

Results
Electronic total energy ... -35.26 eV per cell
D(E_F) ... 3.8 states/eV/f.u.
V ... 19.383 A^3/atom

=====

[30]
First-principles (PBE) data for a geometry-optimized YTa2Si structure, as listed in the Alexandria database.

Lattice parameters (Å, degrees): 8.6746 8.6746 8.6746 22.33 22.33 22.33
Positions (direct):
Y  0.0000  0.0000  0.0000
Ta  0.2307  0.2307  0.2307
Ta  0.4841  0.4841  0.4841
Si  0.7501  0.7501  0.7501

Results
Electronic total energy ... -35.00 eV per cell
D(E_F) ... 4.3 states/eV/f.u.
V ... 20.651 A^3/atom